No. 1
CePrCd2 | GGA-PBE | relaxed

```
CePrCd2
1.0
0.000 3.863 3.863
3.863 0.000 3.863
3.863 3.863 0.000
Ce Pr Cd
1 1 2
direct
0.000 0.000 0.000
0.500 0.500 0.500
0.250 0.250 0.250
0.750 0.750 0.750
```

Energy of formation from the pure elements = -210 meV per atom
ΔE to the lowest computed polymorph = 5 meV per atom



No. 2
Ba3CoSi | GGA-PBE | relaxed

```
Ba3CoSi
1.0
5.646 0.000 0.000
0.000 5.646 0.000
0.000 0.000 5.646
Ba Co Si
3 1 1
direct
0.000 0.000 0.500
0.000 0.500 0.000
0.500 0.000 0.000
0.000 0.000 0.000
0.500 0.500 0.500
```

ΔE to the lowest computed polymorph = 0 meV per atom



No. 3
TbThZnIn | GGA-PBE | relaxed

```
TbThZnIn
1.0
0.000 3.743 3.743
3.743 0.000 3.743
3.743 3.743 0.000
Tb Th Zn In
1 1 1 1
direct
0.000 0.000 0.000
0.500 0.500 0.500
0.250 0.250 0.250
0.750 0.750 0.750
```

Energy of formation from the pure elements = -283 meV per atom



No. 4
PmSmTlIr | GGA-PBE | relaxed

```
PmSmTlIr
1.0
0.000 3.688 3.688
3.688 0.000 3.688
3.688 3.688 0.000
Pm Sm Tl Ir
1 1 1 1
direct
0.000 0.000 0.000
0.500 0.500 0.500
0.750 0.750 0.750
0.250 0.250 0.250
```

Energy of formation from the pure elements = -391 meV per atom
ΔE to the lowest computed polymorph = 11 meV per atom



No. 5
CoSn2GeS | GGA-PBE | relaxed

```
CoSn2GeS
1.0
5.368 0.000 0.000
0.000 5.368 0.000
0.000 0.000 4.668
Co Sn Ge S
1 2 1 1
direct
0.000 0.000 0.000
0.000 0.500 0.500
0.500 0.000 0.500
0.500 0.500 0.500
0.500 0.500 0.000
```

ΔE to the lowest computed polymorph = 779 meV per atom



No. 6
NaBe2PO6 | GGA-PBE | relaxed

```
NaBe2PO6
1.0
4.404 -4.990 0.000
4.404 4.990 0.000
-2.595 0.000 4.912
Na Be P O
2 4 2 12
direct
0.118 0.882 0.750
0.882 0.118 0.250
0.262 0.426 0.904
0.426 0.262 0.404
0.574 0.738 0.596
0.738 0.574 0.096
0.185 0.815 0.250
0.815 0.185 0.750
0.048 0.226 0.741
0.195 0.656 0.989
0.226 0.048 0.241
0.344 0.805 0.511
0.390 0.418 0.683
0.418 0.390 0.183
0.582 0.610 0.817
0.610 0.582 0.317
0.656 0.195 0.489
0.774 0.952 0.759
0.805 0.344 0.011
0.952 0.774 0.259
```



No. 7
Li2BeNi | GGA-PBE | relaxed

```
Li2BeNi
1.0
4.536 -1.313 0.000
4.536 1.313 0.000
-1.344 0.000 3.633
Li Be Ni
2 1 1
direct
0.245 0.245 0.246
0.755 0.755 0.754
0.500 0.500 0.000
0.000 0.000 0.500
```

Energy of formation from the pure elements = 7 meV per atom



No. 8
Zn6CoCu12 | GGA-PBE | relaxed

```
Zn6CoCu12
1.0
4.434 2.560 3.603
-4.434 2.560 3.603
0.000 -5.120 3.603
Zn Co Cu
6 1 12
direct
0.226 0.764 0.386
0.236 0.614 0.774
0.386 0.226 0.764
0.614 0.774 0.236
0.764 0.386 0.226
0.774 0.236 0.614
0.500 0.500 0.500
0.028 0.295 0.947
0.053 0.972 0.705
0.130 0.345 0.457
0.295 0.947 0.028
0.345 0.457 0.130
0.457 0.130 0.345
0.543 0.870 0.655
0.655 0.543 0.870
0.705 0.053 0.972
0.870 0.655 0.543
0.947 0.028 0.295
0.972 0.705 0.053
```

Energy of formation from the pure elements = 7 meV per atom



| no. | uncorrected energy (eV/atom) | DOS(E_F) (states/eV per cell) |
| --- | --- | --- |
| 1 | -3.35 | 10.8 |
| 2 | -3.34 | 5.3 |
| 3 | -4.30 | 2.6 |
| 4 | -5.57 | 3.5 |
| 5 | -3.83 | 3.6 |
| 6 | -6.57 | 0.0 |
| 7 | -3.33 | 1.1 |
| 8 | -3.36 | 7.8 |